[1]
A geometry-optimized Fe4CuRh structure, computed with PBE.

**Calculated total energy**: -44.608 eV/cell
**Calculated volume**: 74.1 Å³/cell
**ΔH_f (0 K)**: 0.1151 eV per atom
**Theoretical density**: 8.73 g cm⁻³

Cell: 4.7155 4.7155 4.7155 Å, 60.00 60.00 60.00°
Fractional coordinates of all 6 atoms:
Fe (0.3757, 0.3757, 0.3757)
Fe (0.3757, 0.3757, 0.8728)
Fe (0.3757, 0.8728, 0.3757)
Fe (0.8728, 0.3757, 0.3757)
Cu (0.7500, 0.7500, 0.7500)
Rh (0.0000, 0.0000, 0.0000)

---

[2]
A geometry-optimized BaSrZn2Ga2 structure, computed with PBE.

**Calculated total energy**: -14.227 eV/cell
**Calculated volume**: 164.4 Å³/cell
**ΔH_f (0 K)**: -0.3369 eV per atom
**Theoretical density**: 5.00 g cm⁻³

Cell: 4.5727 4.5727 9.0770 Å, 90.00 90.00 120.00°
Fractional coordinates of all 6 atoms:
Ba (0.0000, 0.0000, 0.0000)
Sr (0.0000, 0.0000, 0.5000)
Zn (0.3333, 0.6667, 0.7295)
Zn (0.6667, 0.3333, 0.2705)
Ga (0.3333, 0.6667, 0.2654)
Ga (0.6667, 0.3333, 0.7346)

---

[3]
A geometry-optimized IrOsRu2 structure, computed with PBE.

**Energy above the lowest structure with this stoichiometry**: 0.0541 eV/atom
**Calculated total energy**: -38.453 eV/cell
**Calculated volume**: 56.7 Å³/cell
**ΔH_f (0 K)**: 0.0475 eV per atom
**Theoretical density**: 17.14 g cm⁻³

Cell: 3.8420 3.8420 3.8379 Å, 90.00 90.00 90.00°
Fractional coordinates of all 4 atoms:
Ir (0.0000, 0.0000, 0.0000)
Os (0.5000, 0.5000, 0.0000)
Ru (0.0000, 0.5000, 0.5000)
Ru (0.5000, 0.0000, 0.5000)

---

[4]
A geometry-optimized Ru8Pt structure, computed with PBE.

**Calculated total energy**: -79.644 eV/cell
**Calculated volume**: 127.1 Å³/cell
**ΔH_f (0 K)**: 0.0670 eV per atom
**Theoretical density**: 13.12 g cm⁻³

Cell: 6.0692 6.0692 6.0692 Å, 95.72 95.72 143.21°
Fractional coordinates of all 9 atoms:
Ru (0.0000, 0.3370, 0.3370)
Ru (0.0000, 0.6630, 0.6630)
Ru (0.3295, 0.3295, 0.6591)
Ru (0.3295, 0.6705, 0.0000)
Ru (0.3370, 0.0000, 0.3370)
Ru (0.6630, 0.0000, 0.6630)
Ru (0.6705, 0.3295, 0.0000)
Ru (0.6705, 0.6705, 0.3409)
Pt (0.0000, 0.0000, 0.0000)